[1]
Here is an optimized crystal structure of AcDyCu2Sn2 from Alexandria. Energies are from GGA-PBE.

a = 4.6000 Å, b = 4.6000 Å, c = 8.0211 Å
α = 90.00°, β = 90.00°, γ = 120.00°
Space group P-3m1 (No. 164)
One atom of each set of equivalent atoms:
Ac (0.0000, 0.0000, 0.0000) (multiplicity 1)
Dy (0.0000, 0.0000, 0.5000) (multiplicity 1)
Cu (0.3333, 0.6667, 0.6889) (multiplicity 2)
Sn (0.3333, 0.6667, 0.2762) (multiplicity 2)

Results
E_form ... -0.58 eV per atom
Raw total energy ... -28.37 eV/cell

[2]
Here is an optimized crystal structure of BaH6Au2N2 from Alexandria. Energies are from GGA-PBE.

a = 4.913 Å, b = 6.344 Å, c = 6.363 Å
α = 75.38°, β = 67.33°, γ = 88.61°
Space group P-1 (No. 2)
One atom of each set of equivalent atoms:
Ba (0.000, 0.000, 0.000) (multiplicity 1)
H (0.033, 0.440, 0.259) (multiplicity 2)
H (0.220, 0.432, 0.574) (multiplicity 2)
H (0.294, 0.548, 0.750) (multiplicity 2)
Au (0.313, 0.068, 0.371) (multiplicity 2)
N (0.132, 0.456, 0.740) (multiplicity 2)

Results
Raw total energy ... -49.62 eV/cell

[3]
Here is an optimized crystal structure of Tb5CeDy2 from Alexandria. Energies are from GGA-PBE.

a = 7.109 Å, b = 14.218 Å, c = 5.019 Å
α = 90.00°, β = 90.00°, γ = 90.00°
Space group Pbam (No. 55)
One atom of each set of equivalent atoms:
Tb (0.000, 0.000, 0.000) (multiplicity 2)
Tb (0.001, 0.250, 0.000) (multiplicity 4)
Tb (0.246, 0.376, 0.500) (multiplicity 4)
Ce (0.000, 0.500, 0.000) (multiplicity 2)
Dy (0.246, 0.624, 0.500) (multiplicity 4)

Results
E_form ... 0.04 eV per atom
Raw total energy ... -75.93 eV/cell